[1]
A plane-wave DFT calculation with GGA-PBE was carried out for a relaxed La7Tb2Th2 crystal.

SG = C2/m, No. 12
Energy above the lowest structure with this stoichiometry = 0 meV per atom
Formation enthalpy at 0 K = 101 meV/atom

Cell: 6.451 6.451 10.235 Å, 91.36 91.36 113.99°
Element x y z (fractional)
La: 0.000 0.000 0.000
La: 0.186 0.591 0.151
La: 0.294 0.294 0.700
La: 0.409 0.814 0.849
La: 0.591 0.186 0.151
La: 0.706 0.706 0.300
La: 0.814 0.409 0.849
Tb: 0.274 0.726 0.500
Tb: 0.726 0.274 0.500
Th: 0.176 0.176 0.364
Th: 0.824 0.824 0.636


[2]
A plane-wave DFT calculation with GGA-PBE was carried out for a relaxed Ce5Pm3N12 crystal.

Uncorrected formation energy = -1347 kJ/mol of formula units
SG = Ia-3d, No. 230

Cell: 12.039 12.039 12.039 Å, 109.47 109.47 109.47°
Element x y z (fractional)
Ce: 0.000 0.000 0.000
Ce: 0.000 0.000 0.500
Ce: 0.000 0.500 0.000
Ce: 0.000 0.500 0.500
Ce: 0.125 0.750 0.875
Ce: 0.125 0.875 0.250
Ce: 0.250 0.125 0.875
Ce: 0.250 0.625 0.375
Ce: 0.375 0.250 0.625
Ce: 0.375 0.625 0.750
Ce: 0.500 0.000 0.000
Ce: 0.500 0.000 0.500
Ce: 0.500 0.500 0.000
Ce: 0.500 0.500 0.500
Ce: 0.625 0.375 0.250
Ce: 0.625 0.750 0.375
Ce: 0.750 0.375 0.625
Ce: 0.750 0.875 0.125
Ce: 0.875 0.125 0.750
Ce: 0.875 0.250 0.125
Pm: 0.125 0.250 0.375
Pm: 0.125 0.375 0.750
Pm: 0.250 0.375 0.125
Pm: 0.250 0.875 0.625
Pm: 0.375 0.125 0.250
Pm: 0.375 0.750 0.125
Pm: 0.625 0.250 0.875
Pm: 0.625 0.875 0.750
Pm: 0.750 0.125 0.375
Pm: 0.750 0.625 0.875
Pm: 0.875 0.625 0.250
Pm: 0.875 0.750 0.625
N: 0.039 0.214 0.134
N: 0.039 0.326 0.905
N: 0.080 0.714 0.674
N: 0.080 0.866 0.405
N: 0.095 0.634 0.420
N: 0.095 0.961 0.674
N: 0.134 0.039 0.214
N: 0.134 0.595 0.920
N: 0.174 0.214 0.580
N: 0.174 0.461 0.595
N: 0.214 0.134 0.039
N: 0.214 0.580 0.174
N: 0.286 0.326 0.920
N: 0.286 0.461 0.366
N: 0.326 0.905 0.039
N: 0.326 0.920 0.286
N: 0.366 0.286 0.461
N: 0.366 0.580 0.905
N: 0.405 0.080 0.866
N: 0.405 0.826 0.539
N: 0.420 0.095 0.634
N: 0.420 0.826 0.786
N: 0.461 0.366 0.286
N: 0.461 0.595 0.174
N: 0.539 0.405 0.826
N: 0.539 0.634 0.714
N: 0.580 0.174 0.214
N: 0.580 0.905 0.366
N: 0.595 0.174 0.461
N: 0.595 0.920 0.134
N: 0.634 0.420 0.095
N: 0.634 0.714 0.539
N: 0.674 0.080 0.714
N: 0.674 0.095 0.961
N: 0.714 0.539 0.634
N: 0.714 0.674 0.080
N: 0.786 0.420 0.826
N: 0.786 0.866 0.961
N: 0.826 0.539 0.405
N: 0.826 0.786 0.420
N: 0.866 0.405 0.080
N: 0.866 0.961 0.786
N: 0.905 0.039 0.326
N: 0.905 0.366 0.580
N: 0.920 0.134 0.595
N: 0.920 0.286 0.326
N: 0.961 0.674 0.095
N: 0.961 0.786 0.866


[3]
A plane-wave DFT calculation with GGA-PBE was carried out for a relaxed Na3Sb4Se8 crystal.

Uncorrected formation energy = -704 kJ/mol of formula units
SG = C2/m, No. 12

Cell: 8.290 8.290 8.142 Å, 119.12 119.12 91.05°
Element x y z (fractional)
Na: 0.000 0.000 0.000
Na: 0.000 0.500 0.000
Na: 0.500 0.000 0.000
Sb: 0.000 0.500 0.500
Sb: 0.500 0.000 0.500
Sb: 0.500 0.500 0.000
Sb: 0.500 0.500 0.500
Se: 0.254 0.254 0.506
Se: 0.256 0.744 0.000
Se: 0.261 0.739 0.500
Se: 0.269 0.269 0.030
Se: 0.731 0.731 0.970
Se: 0.739 0.261 0.500
Se: 0.744 0.256 0.000
Se: 0.746 0.746 0.494


[4]
A plane-wave DFT calculation with GGA-PBE was carried out for a relaxed CoSb3Br crystal.

Uncorrected formation energy = 137 kJ/mol of formula units
SG = Pm-3m, No. 221
Energy above the lowest structure with this stoichiometry = 0 meV per atom

Cell: 5.021 5.021 5.021 Å, 90.00 90.00 90.00°
Element x y z (fractional)
Co: 0.000 0.000 0.000
Sb: 0.000 0.000 0.500
Sb: 0.000 0.500 0.000
Sb: 0.500 0.000 0.000
Br: 0.500 0.500 0.500


no.,DOS at the Fermi energy (states/eV/cell)
1,17.28
2,65.37
3,5.40
4,6.39